# 1
Here is a relaxed Pr5ThAu6 crystal from Alexandria. Energies are from PBE.

The value obtained for the formation energy is -0.71 eV/atom. For the volume, the calculation gives 26.2 Å³ per atom. The density of states at the Fermi level is 10.20 states/eV/f.u. The crystal system is monoclinic.

The structure belongs to space group C2/m (No. 12); the cell edges are 16.721, 7.431 and 5.326 Å and the angles 90.00°, 108.43° and 90.00°. The distinct sites, in fractional coordinates, are Pr at (0.000, 0.000, 0.000), Pr at (0.162, 0.000, 0.662), Pr at (0.174, 0.500, 0.674), Th at (0.000, 0.500, 0.000), Au at (0.000, 0.272, 0.500) and Au at (0.163, 0.261, 0.163).


# 2
Here is a relaxed Pr2ThAu4 crystal from Alexandria. Energies are from PBE.

The value obtained for the formation energy is -0.59 eV/atom. For the volume, the calculation gives 27.5 Å³ per atom. The density of states at the Fermi level is 6.47 states/eV/f.u. The crystal system is tetragonal.

The structure belongs to space group I4/mmm (No. 139); the cell edges are 5.375, 5.375 and 13.323 Å and the angles 90.00°, 90.00° and 90.00°. The distinct sites, in fractional coordinates, are Pr at (0.000, 0.000, 0.217), Th at (0.000, 0.000, 0.500) and Au at (0.000, 0.500, 0.114).


# 3
Here is a relaxed PrThAu3 crystal from Alexandria. Energies are from PBE.

The value obtained for the formation energy is -0.71 eV/atom. For the volume, the calculation gives 25.1 Å³ per atom. The density of states at the Fermi level is 4.13 states/eV/f.u. The crystal system is orthorhombic.

The structure belongs to space group Cmcm (No. 63); the cell edges are 3.733, 28.589 and 4.710 Å and the angles 90.00°, 90.00° and 90.00°. The distinct sites, in fractional coordinates, are Pr at (0.000, 0.071, 0.250), Th at (0.000, 0.206, 0.750), Au at (0.000, 0.319, 0.750), Au at (0.000, 0.379, 0.250) and Au at (0.000, 0.476, 0.250).


# 4
Here is a relaxed PrTiAu2 crystal from Alexandria. Energies are from PBE.

The value obtained for the formation energy is -0.50 eV/atom. For the volume, the calculation gives 23.1 Å³ per atom. The polymorph energy (0 for the lowest one) comes out at 0 meV per atom. The density of states at the Fermi level is 3.82 states/eV/f.u. The crystal system is trigonal.

The structure belongs to space group R-3m (No. 166, hexagonal axes); the cell edges are 4.5839, 4.5839 and 15.2474 Å and the angles 90.00°, 90.00° and 120.00°. The distinct sites, in fractional coordinates, are Pr at (0.0000, 0.0000, 0.0000), Ti at (0.0000, 0.0000, 0.5000) and Au at (0.0000, 0.0000, 0.2103).


# 5
Here is a relaxed PrTiAu2 crystal from Alexandria. Energies are from PBE.

The value obtained for the formation energy is -0.48 eV/atom. For the volume, the calculation gives 21.3 Å³ per atom. The polymorph energy (0 for the lowest one) comes out at 17 meV per atom. The density of states at the Fermi level is 4.09 states/eV/f.u. The crystal system is tetragonal.

The structure belongs to space group P4/mmm (No. 123); the cell edges are 3.389, 3.389 and 7.411 Å and the angles 90.00°, 90.00° and 90.00°. The distinct sites, in fractional coordinates, are Pr at (0.000, 0.000, 0.000), Ti at (0.000, 0.000, 0.500) and Au at (0.500, 0.500, 0.300).


# 6
Here is a relaxed PrTiAu crystal from Alexandria. Energies are from PBE.

The value obtained for the formation energy is -0.37 eV/atom. For the volume, the calculation gives 24.2 Å³ per atom. The density of states at the Fermi level is 3.28 states/eV/f.u. The crystal system is tetragonal.

The structure belongs to space group P4/nmm (No. 129, origin choice 2); the cell edges are 4.547, 4.547 and 7.013 Å and the angles 90.00°, 90.00° and 90.00°. The distinct sites, in fractional coordinates, are Pr at (0.250, 0.250, 0.138), Ti at (0.250, 0.750, 0.500) and Au at (0.250, 0.250, 0.706).


# 7
Here is a relaxed Pr8Tl2Au crystal from Alexandria. Energies are from PBE.

The value obtained for the formation energy is -0.18 eV/atom. For the volume, the calculation gives 32.0 Å³ per atom. The polymorph energy (0 for the lowest one) comes out at 71 meV per atom. The density of states at the Fermi level is 14.28 states/eV/f.u. The crystal system is orthorhombic.

The structure belongs to space group Immm (No. 71); the cell edges are 5.292, 8.923 and 14.912 Å and the angles 90.00°, 90.00° and 90.00°. The distinct sites, in fractional coordinates, are Pr at (0.000, 0.000, 0.130), Pr at (0.000, 0.223, 0.346), Pr at (0.000, 0.322, 0.000), Tl at (0.000, 0.500, 0.199) and Au at (0.000, 0.500, 0.500).


# 8
Here is a relaxed Pr2TlAu3 crystal from Alexandria. Energies are from PBE.

The value obtained for the formation energy is -0.57 eV/atom. For the volume, the calculation gives 26.8 Å³ per atom. The polymorph energy (0 for the lowest one) comes out at 62 meV per atom. The density of states at the Fermi level is 2.80 states/eV/f.u. The crystal system is orthorhombic.

The structure belongs to space group Imm2 (No. 44); the cell edges are 4.091, 4.159 and 18.889 Å and the angles 90.00°, 90.00° and 90.00°. The distinct sites, in fractional coordinates, are Pr at (0.000, 0.000, 0.000), Pr at (0.000, 0.500, 0.220), Tl at (0.000, 0.000, 0.397), Au at (0.000, 0.000, 0.556), Au at (0.000, 0.500, 0.650) and Au at (0.000, 0.500, 0.796).


# 9
Here is a relaxed Pr4TlAu3 crystal from Alexandria. Energies are from PBE.

The value obtained for the formation energy is -0.64 eV/atom. For the volume, the calculation gives 27.3 Å³ per atom. The polymorph energy (0 for the lowest one) comes out at 5 meV per atom. The density of states at the Fermi level is 7.39 states/eV/f.u. The crystal system is trigonal.

The structure belongs to space group R-3m (No. 166, hexagonal axes); the cell edges are 5.3589, 5.3589 and 26.3062 Å and the angles 90.00°, 90.00° and 120.00°. The distinct sites, in fractional coordinates, are Pr at (0.0000, 0.0000, 0.1192), Pr at (0.0000, 0.0000, 0.3704), Tl at (0.0000, 0.0000, 0.5000), Au at (0.0000, 0.0000, 0.0000) and Au at (0.0000, 0.0000, 0.2422).


# 10
Here is a relaxed Pr5Tl2Au2 crystal from Alexandria. Energies are from PBE.

The value obtained for the formation energy is -0.47 eV/atom. For the volume, the calculation gives 30.8 Å³ per atom. The density of states at the Fermi level is 10.15 states/eV/f.u. The crystal system is orthorhombic.

The structure belongs to space group Cmce (No. 64); the cell edges are 16.479, 8.806 and 7.643 Å and the angles 90.00°, 90.00° and 90.00°. The distinct sites, in fractional coordinates, are Pr at (0.000, 0.000, 0.000), Pr at (0.130, 0.181, 0.346), Tl at (0.211, 0.000, 0.000) and Au at (0.000, 0.127, 0.631).


# 11
Here is a relaxed Pr8Tl2Au crystal from Alexandria. Energies are from PBE.

The value obtained for the formation energy is -0.26 eV/atom. For the volume, the calculation gives 32.6 Å³ per atom. The polymorph energy (0 for the lowest one) comes out at 0 meV per atom. The density of states at the Fermi level is 11.99 states/eV/f.u. The crystal system is monoclinic.

The structure belongs to space group C2/m (No. 12); the cell edges are 19.821, 5.310 and 7.056 Å and the angles 90.00°, 104.92° and 90.00°. The distinct sites, in fractional coordinates, are Pr at (0.014, 0.000, 0.273), Pr at (0.091, 0.500, 0.967), Pr at (0.153, 0.500, 0.489), Pr at (0.210, 0.000, 0.817), Tl at (0.181, 0.000, 0.252) and Au at (0.000, 0.500, 0.500).


# 12
Here is a relaxed Pr3TlAu2 crystal from Alexandria. Energies are from PBE.

The value obtained for the formation energy is -0.63 eV/atom. For the volume, the calculation gives 27.6 Å³ per atom. The density of states at the Fermi level is 4.74 states/eV/f.u. The crystal system is tetragonal.

The structure belongs to space group P4/mmm (No. 123); the cell edges are 3.742, 3.742 and 11.841 Å and the angles 90.00°, 90.00° and 90.00°. The distinct sites, in fractional coordinates, are Pr at (0.000, 0.000, 0.000), Pr at (0.000, 0.000, 0.316), Tl at (0.500, 0.500, 0.500) and Au at (0.500, 0.500, 0.160).


# 13
Here is a relaxed PrTlAu crystal from Alexandria. Energies are from PBE.

The value obtained for the formation energy is -0.61 eV/atom. For the volume, the calculation gives 26.2 Å³ per atom. The density of states at the Fermi level is 0.88 states/eV/f.u. The crystal system is hexagonal.

The structure belongs to space group P6_3/mmc (No. 194); the cell edges are 5.2657, 5.2657 and 6.5444 Å and the angles 90.00°, 90.00° and 120.00°. The distinct sites, in fractional coordinates, are Pr at (0.3333, 0.6667, 0.2500), Tl at (0.0000, 0.0000, 0.0000) and Au at (0.3333, 0.6667, 0.7500).


# 14
Here is a relaxed Pr6TlAu crystal from Alexandria. Energies are from PBE.

The value obtained for the formation energy is -0.21 eV/atom. For the volume, the calculation gives 31.8 Å³ per atom. The density of states at the Fermi level is 8.61 states/eV/f.u. The crystal system is triclinic.

The structure belongs to space group P-1 (No. 2); the cell edges are 6.348, 6.359 and 6.360 Å and the angles 94.08°, 94.21° and 94.14°. The distinct sites, in fractional coordinates, are Pr at (0.025, 0.256, 0.061), Pr at (0.244, 0.939, 0.472), Pr at (0.440, 0.471, 0.745), Tl at (0.500, 0.000, 0.000) and Au at (0.000, 0.500, 0.500).


# 15
Here is a relaxed PrTlAu4 crystal from Alexandria. Energies are from PBE.

The value obtained for the formation energy is -0.41 eV/atom. For the volume, the calculation gives 23.2 Å³ per atom. The polymorph energy (0 for the lowest one) comes out at 0 meV per atom. The density of states at the Fermi level is 4.04 states/eV/f.u. The crystal system is hexagonal.

The structure belongs to space group P6/mmm (No. 191); the cell edges are 4.8410, 4.8410 and 6.8446 Å and the angles 90.00°, 90.00° and 120.00°. The distinct sites, in fractional coordinates, are Pr at (0.0000, 0.0000, 0.0000), Tl at (0.0000, 0.0000, 0.5000) and Au at (0.3333, 0.6667, 0.2465).


# 16
Here is a relaxed Pr8Tl5Au crystal from Alexandria. Energies are from PBE.

The value obtained for the formation energy is -0.33 eV/atom. For the volume, the calculation gives 31.9 Å³ per atom. The density of states at the Fermi level is 18.01 states/eV/f.u. The crystal system is tetragonal.

The structure belongs to space group I-4 (No. 82); the cell edges are 9.618, 9.618 and 9.669 Å and the angles 90.00°, 90.00° and 90.00°. The distinct sites, in fractional coordinates, are Pr at (0.071, 0.174, 0.204), Pr at (0.074, 0.311, 0.551), Tl at (0.000, 0.500, 0.250), Tl at (0.119, 0.253, 0.879) and Au at (0.000, 0.000, 0.500).


# 17
Here is a relaxed Pr12TlAu6 crystal from Alexandria. Energies are from PBE.

The value obtained for the formation energy is -0.46 eV/atom. For the volume, the calculation gives 31.2 Å³ per atom. The density of states at the Fermi level is 21.95 states/eV/f.u. The crystal system is cubic.

The structure belongs to space group Im-3 (No. 204); the cell edges are 10.580, 10.580 and 10.580 Å and the angles 90.00°, 90.00° and 90.00°. The distinct sites, in fractional coordinates, are Pr at (0.000, 0.295, 0.183), Tl at (0.000, 0.000, 0.000) and Au at (0.000, 0.134, 0.500).


# 18
Here is a relaxed Pr2TlAu3 crystal from Alexandria. Energies are from PBE.

The value obtained for the formation energy is -0.63 eV/atom. For the volume, the calculation gives 24.8 Å³ per atom. The polymorph energy (0 for the lowest one) comes out at 0 meV per atom. The density of states at the Fermi level is 3.67 states/eV/f.u. The crystal system is orthorhombic.

The structure belongs to space group Fmmm (No. 69); the cell edges are 7.227, 9.713 and 16.953 Å and the angles 90.00°, 90.00° and 90.00°. The distinct sites, in fractional coordinates, are Pr at (0.242, 0.000, 0.000), Pr at (0.250, 0.250, 0.250), Tl at (0.000, 0.000, 0.334), Au at (0.000, 0.000, 0.166) and Au at (0.000, 0.248, 0.082).


# 19
Here is a relaxed Pr3Tl2Au crystal from Alexandria. Energies are from PBE.

The value obtained for the formation energy is -0.51 eV/atom. For the volume, the calculation gives 29.0 Å³ per atom. The polymorph energy (0 for the lowest one) comes out at 0 meV per atom. The density of states at the Fermi level is 6.02 states/eV/f.u. The crystal system is tetragonal.

The structure belongs to space group P4/mmm (No. 123); the cell edges are 3.737, 3.737 and 12.476 Å and the angles 90.00°, 90.00° and 90.00°. The distinct sites, in fractional coordinates, are Pr at (0.000, 0.000, 0.000), Pr at (0.000, 0.000, 0.352), Tl at (0.500, 0.500, 0.175) and Au at (0.500, 0.500, 0.500).


# 20
Here is a relaxed Pr3Tl2Au crystal from Alexandria. Energies are from PBE.

The value obtained for the formation energy is -0.43 eV/atom. For the volume, the calculation gives 29.0 Å³ per atom. The polymorph energy (0 for the lowest one) comes out at 82 meV per atom. The density of states at the Fermi level is 4.31 states/eV/f.u. The crystal system is monoclinic.

The structure belongs to space group C2/c (No. 15); the cell edges are 16.096, 6.615 and 6.713 Å and the angles 90.00°, 102.95° and 90.00°. The distinct sites, in fractional coordinates, are Pr at (0.000, 0.132, 0.250), Pr at (0.159, 0.396, 0.586), Tl at (0.169, 0.112, 0.053) and Au at (0.000, 0.359, 0.750).